(1)
BeP3F: optimized geometry, GGA-PBE.

Lattice parameters (Å, degrees): 4.269 4.269 4.269 90.00 90.00 90.00
Fractional coordinates of all 5 atoms:
P 0.000 0.500 0.000
P 0.000 0.000 0.500
P 0.500 0.000 0.000
Be 0.500 0.500 0.500
F 0.000 0.000 0.000

Computed properties:
Raw formation energy   1048 meV/atom
Crystal system   cubic
Energy above the most stable polymorph in this dataset   604 meV/atom



(2)
BeP3F: optimized geometry, GGA-PBE.

Lattice parameters (Å, degrees): 4.172 4.172 4.172 90.00 90.00 90.00
Fractional coordinates of all 5 atoms:
P 0.000 0.500 0.000
P 0.000 0.000 0.500
P 0.500 0.000 0.000
Be 0.000 0.000 0.000
F 0.500 0.500 0.500

Computed properties:
Raw formation energy   445 meV/atom
Crystal system   cubic
Energy above the most stable polymorph in this dataset   0 meV/atom



(3)
BePF2: optimized geometry, GGA-PBE.

Lattice parameters (Å, degrees): 9.845 9.845 9.845 14.94 14.94 14.94
Each line ends with the local moment (μB).
Fractional coordinates of all 4 atoms:
P 0.000 0.000 0.000  0.26
Be 0.500 0.500 0.500  0.00
F 0.865 0.865 0.865  0.00
F 0.135 0.135 0.135  0.00

Computed properties:
Raw formation energy   -1883 meV/atom
Crystal system   trigonal
Energy above the most stable polymorph in this dataset   0 meV/atom



(4)
BePF2: optimized geometry, GGA-PBE.

Lattice parameters (Å, degrees): 4.055 4.055 4.055 60.00 60.00 60.00
Fractional coordinates of all 4 atoms:
P 0.500 0.500 0.500
Be 0.000 0.000 0.000
F 0.250 0.250 0.250
F 0.750 0.750 0.750

Computed properties:
Raw formation energy   -31 meV/atom
Crystal system   cubic
Energy above the most stable polymorph in this dataset   1852 meV/atom